(1)
Below is a relaxed Li2Dy2YTl2 crystal, with properties calculated at the GGA-PBE level.

SG: No. 166

Lattice parameters (Å, degrees): 9.3995 9.3995 9.3995 29.64 29.64 29.64
Element x y z (fractional)
Li1 0.1025 0.1025 0.1025
Li2 0.8975 0.8975 0.8975
Dy1 0.3728 0.3728 0.3728
Dy2 0.6272 0.6272 0.6272
Y1 0.5000 0.5000 0.5000
Tl1 0.2380 0.2380 0.2380
Tl2 0.7620 0.7620 0.7620



(2)
Below is a relaxed LiDyZrTl crystal, with properties calculated at the GGA-PBE level.

SG: No. 216

Lattice parameters (Å, degrees): 5.1005 5.1005 5.1005 60.00 60.00 60.00
Element x y z (fractional)
Li1 0.0000 0.0000 0.0000
Dy1 0.7500 0.7500 0.7500
Zr1 0.2500 0.2500 0.2500
Tl1 0.5000 0.5000 0.5000



(3)
Below is a relaxed LiDyTm crystal, with properties calculated at the GGA-PBE level.

E above lowest polymorph (eV per atom): 0.058
SG: No. 156

Lattice parameters (Å, degrees): 3.4359 3.4359 8.2777 90.00 90.00 120.00
Element x y z (fractional)
Li1 0.0000 0.0000 0.0000
Dy1 0.3333 0.6667 0.6661
Tm1 0.6667 0.3333 0.3287



(4)
Below is a relaxed Li12Dy3Tm5 crystal, with properties calculated at the GGA-PBE level.

SG: No. 230

Lattice parameters (Å, degrees): 14.5550 14.5550 14.5550 109.47 109.47 109.47
Element x y z (fractional)
Li1 0.0667 0.6496 0.4157
Li2 0.0667 0.9171 0.6511
Li3 0.0829 0.2340 0.1496
Li4 0.0829 0.3489 0.9333
Li5 0.0843 0.7340 0.6511
Li6 0.0843 0.8504 0.4333
Li7 0.1496 0.0829 0.2340
Li8 0.1496 0.5667 0.9157
Li9 0.1511 0.2340 0.5843
Li10 0.1511 0.4171 0.5667
Li11 0.2340 0.1496 0.0829
Li12 0.2340 0.5843 0.1511
Li13 0.2660 0.3489 0.9157
Li14 0.2660 0.4171 0.3504
Li15 0.3489 0.9157 0.2660
Li16 0.3489 0.9333 0.0829
Li17 0.3504 0.2660 0.4171
Li18 0.3504 0.5843 0.9333
Li19 0.4157 0.0667 0.6496
Li20 0.4157 0.8489 0.7660
Li21 0.4171 0.3504 0.2660
Li22 0.4171 0.5667 0.1511
Li23 0.4333 0.0843 0.8504
Li24 0.4333 0.8489 0.5829
Li25 0.5667 0.1511 0.4171
Li26 0.5667 0.9157 0.1496
Li27 0.5829 0.4333 0.8489
Li28 0.5829 0.6496 0.7340
Li29 0.5843 0.1511 0.2340
Li30 0.5843 0.9333 0.3504
Li31 0.6496 0.4157 0.0667
Li32 0.6496 0.7340 0.5829
Li33 0.6511 0.0667 0.9171
Li34 0.6511 0.0843 0.7340
Li35 0.7340 0.5829 0.6496
Li36 0.7340 0.6511 0.0843
Li37 0.7660 0.4157 0.8489
Li38 0.7660 0.8504 0.9171
Li39 0.8489 0.5829 0.4333
Li40 0.8489 0.7660 0.4157
Li41 0.8504 0.4333 0.0843
Li42 0.8504 0.9171 0.7660
Li43 0.9157 0.1496 0.5667
Li44 0.9157 0.2660 0.3489
Li45 0.9171 0.6511 0.0667
Li46 0.9171 0.7660 0.8504
Li47 0.9333 0.0829 0.3489
Li48 0.9333 0.3504 0.5843
Dy1 0.1250 0.2500 0.3750
Dy2 0.1250 0.3750 0.7500
Dy3 0.2500 0.3750 0.1250
Dy4 0.2500 0.8750 0.6250
Dy5 0.3750 0.1250 0.2500
Dy6 0.3750 0.7500 0.1250
Dy7 0.6250 0.2500 0.8750
Dy8 0.6250 0.8750 0.7500
Dy9 0.7500 0.1250 0.3750
Dy10 0.7500 0.6250 0.8750
Dy11 0.8750 0.6250 0.2500
Dy12 0.8750 0.7500 0.6250
Tm1 0.0000 0.0000 0.0000
Tm2 0.0000 0.0000 0.5000
Tm3 0.0000 0.5000 0.0000
Tm4 0.0000 0.5000 0.5000
Tm5 0.1250 0.7500 0.8750
Tm6 0.1250 0.8750 0.2500
Tm7 0.2500 0.1250 0.8750
Tm8 0.2500 0.6250 0.3750
Tm9 0.3750 0.2500 0.6250
Tm10 0.3750 0.6250 0.7500
Tm11 0.5000 0.0000 0.0000
Tm12 0.5000 0.0000 0.5000
Tm13 0.5000 0.5000 0.0000
Tm14 0.5000 0.5000 0.5000
Tm15 0.6250 0.3750 0.2500
Tm16 0.6250 0.7500 0.3750
Tm17 0.7500 0.3750 0.6250
Tm18 0.7500 0.8750 0.1250
Tm19 0.8750 0.1250 0.7500
Tm20 0.8750 0.2500 0.1250



(5)
Below is a relaxed LiDyTm crystal, with properties calculated at the GGA-PBE level.

E above lowest polymorph (eV per atom): 0.000
SG: No. 129

Lattice parameters (Å, degrees): 3.5617 3.5617 12.7314 90.00 90.00 90.00
Element x y z (fractional)
Li1 0.2500 0.2500 0.0515
Li2 0.7500 0.7500 0.9485
Dy1 0.2500 0.2500 0.7811
Dy2 0.7500 0.7500 0.2189
Tm1 0.2500 0.2500 0.4040
Tm2 0.7500 0.7500 0.5960



(6)
Below is a relaxed LiDyTm crystal, with properties calculated at the GGA-PBE level.

E above lowest polymorph (eV per atom): 0.293
SG: No. 12

Lattice parameters (Å, degrees): 3.4606 3.4606 28.0890 94.69 94.69 60.00
Element x y z (fractional)
Li1 0.1496 0.1496 0.4606
Li2 0.8504 0.8504 0.5394
Dy1 0.3098 0.3098 0.9469
Dy2 0.6902 0.6902 0.0531
Tm1 0.0675 0.0675 0.1525
Tm2 0.9325 0.9325 0.8475



(7)
Below is a relaxed Li4DyTm crystal, with properties calculated at the GGA-PBE level.

SG: No. 216

Lattice parameters (Å, degrees): 5.8083 5.8083 5.8083 60.00 60.00 60.00
Element x y z (fractional)
Li1 0.1252 0.1252 0.1252
Li2 0.1252 0.1252 0.6245
Li3 0.1252 0.6245 0.1252
Li4 0.6245 0.1252 0.1252
Dy1 0.7500 0.7500 0.7500
Tm1 0.5000 0.5000 0.5000



(8)
Below is a relaxed LiDyTm crystal, with properties calculated at the GGA-PBE level.

E above lowest polymorph (eV per atom): 0.039
SG: No. 107

Lattice parameters (Å, degrees): 6.7525 6.7525 6.7525 149.07 149.07 44.30
Element x y z (fractional)
Li1 0.0000 0.0000 0.0000
Dy1 0.6574 0.6574 0.0000
Tm1 0.3474 0.3474 0.0000



(9)
Below is a relaxed LiDyYTm crystal, with properties calculated at the GGA-PBE level.

SG: No. 216

Lattice parameters (Å, degrees): 5.4493 5.4493 5.4493 60.00 60.00 60.00
Element x y z (fractional)
Li1 0.0000 0.0000 0.0000
Dy1 0.7500 0.7500 0.7500
Y1 0.2500 0.2500 0.2500
Tm1 0.5000 0.5000 0.5000



(10)
Below is a relaxed LiDy2Y crystal, with properties calculated at the GGA-PBE level.

E above lowest polymorph (eV per atom): 0.022
SG: No. 166

Lattice parameters (Å, degrees): 11.4196 11.4196 11.4196 17.60 17.60 17.60
Element x y z (fractional)
Li1 0.0000 0.0000 0.0000
Dy1 0.2520 0.2520 0.2520
Dy2 0.7480 0.7480 0.7480
Y1 0.5000 0.5000 0.5000



(11)
Below is a relaxed LiDy2Y crystal, with properties calculated at the GGA-PBE level.

E above lowest polymorph (eV per atom): 0.088
SG: No. 123

Lattice parameters (Å, degrees): 5.5793 5.5793 3.7684 90.00 90.00 90.00
Element x y z (fractional)
Li1 0.0000 0.0000 0.0000
Dy1 0.0000 0.5000 0.5000
Dy2 0.5000 0.0000 0.5000
Y1 0.5000 0.5000 0.0000



(12)
Below is a relaxed LiDy4Y5 crystal, with properties calculated at the GGA-PBE level.

SG: No. 123

Lattice parameters (Å, degrees): 3.5760 3.5760 24.0058 90.00 90.00 90.00
Element x y z (fractional)
Li1 0.0000 0.0000 0.0000
Dy1 0.0000 0.0000 0.1861
Dy2 0.0000 0.0000 0.3954
Dy3 0.0000 0.0000 0.6046
Dy4 0.0000 0.0000 0.8139
Y1 0.5000 0.5000 0.0832
Y2 0.5000 0.5000 0.2908
Y3 0.5000 0.5000 0.5000
Y4 0.5000 0.5000 0.7092
Y5 0.5000 0.5000 0.9168



Listing calculated formation energy for the structures above in their given order: -185 -18 115 848 58 351 121 96 168 92 159 39 meV/atom.
Listing total energy for the structures above in their given order: -3.646 -4.376 -3.547 -2.109 -3.605 -3.312 -2.667 -3.566 -4.195 -4.303 -4.237 -5.225 eV per atom.